Record 1
Here is a relaxed structure of BaFeNi2Pd from Alexandria via LeMat-Bulk. Energies are from PBE.

## Properties
The value obtained for the formation enthalpy at 0 K is 2.039 eV per atom. Its space-group type is P4/mmm, No. 123. Its crystal system is tetragonal. The value obtained for the total energy is -3.39 eV/atom. The value obtained for the spin magnetization is 2.59 μB/f.u.

a b c (Å): 4.7832 4.9571 4.7832
angles (deg): 90.00 90.00 90.00
Each line ends with the local moment (μB).
Atoms (fractional coordinates):
1 Ni 0.0000 0.0000 0.5000  -0.01
2 Ni 0.5000 0.0000 0.0000  0.10
3 Ba 0.0000 0.0000 0.0000  -0.10
4 Pd 0.5000 0.5000 0.5000  0.04
5 Fe 0.0000 0.5000 0.0000  2.60

=====

Record 2
Here is a relaxed structure of Ba2FeReNi from Alexandria via LeMat-Bulk. Energies are from PBE.

## Properties
The value obtained for the formation enthalpy at 0 K is 1.397 eV per atom. Its space-group type is P4/mmm, No. 123. Its crystal system is tetragonal. The value obtained for the total energy is -4.71 eV/atom. The value obtained for the spin magnetization is 6.04 μB/f.u.

a b c (Å): 5.9067 4.3292 5.9067
angles (deg): 90.00 90.00 90.00
Each line ends with the local moment (μB).
Atoms (fractional coordinates):
1 Fe 0.0000 0.0000 0.0000  2.45
2 Re 0.5000 0.5000 0.5000  2.94
3 Ba 0.0000 0.0000 0.5000  -0.12
4 Ba 0.5000 0.0000 0.0000  -0.07
5 Ni 0.0000 0.5000 0.0000  0.73

=====

Record 3
Here is a relaxed structure of Ba2FeNiRh from Alexandria via LeMat-Bulk. Energies are from PBE.

## Properties
The value obtained for the formation enthalpy at 0 K is 0.618 eV per atom. Its space-group type is P4/mmm, No. 123. Its crystal system is tetragonal. The value obtained for the total energy is -4.47 eV/atom. The value obtained for the spin magnetization is 3.85 μB/f.u.

a b c (Å): 5.8312 4.4163 5.8312
angles (deg): 90.00 90.00 90.00
Each line ends with the local moment (μB).
Atoms (fractional coordinates):
1 Ni 0.0000 0.0000 0.0000  0.48
2 Rh 0.5000 0.5000 0.5000  0.64
3 Ba 0.0000 0.0000 0.5000  -0.06
4 Ba 0.5000 0.0000 0.0000  -0.07
5 Fe 0.0000 0.5000 0.0000  3.02

=====

Question: Among the records above, which one has the lowest spin magnetization?
Answer: BaFeNi2Pd

=====

Question: What is the spin magnetization in the third record?
Answer: 3.85 μB/f.u.